VASP calculation (GGA-PBE) on a relaxed Nd3DyP4 crystal.

Output
ΔE to the lowest computed polymorph ... 4 meV per atom
Energy of formation ... -1.55 eV/atom
N(E_F) ... 0.807 states/eV/cell

Cell: 5.8389 5.8389 5.8389 Å, 90.00 90.00 90.00°
Space group Pm-3m (No. 221)
Inequivalent atoms, fractional coordinates:
Nd (0.0000, 0.0000, 0.5000)
Dy (0.5000, 0.5000, 0.5000)
P (0.0000, 0.0000, 0.0000)
P (0.0000, 0.5000, 0.5000)

VASP calculation (GGA-PBE) on a relaxed Nd5DyP6 crystal.

Output
Energy of formation ... -1.55 eV/atom
N(E_F) ... 1.835 states/eV/cell

Cell: 7.1764 12.4256 7.1743 Å, 90.00 109.48 90.00°
Space group C2/m (No. 12)
Inequivalent atoms, fractional coordinates:
Nd (0.0000, 0.0000, 0.0000)
Nd (0.0000, 0.1664, 0.5000)
Nd (0.0000, 0.3326, 0.0000)
Dy (0.0000, 0.5000, 0.5000)
P (0.2462, 0.3359, 0.7465)
P (0.2458, 0.5000, 0.2528)

VASP calculation (GGA-PBE) on a relaxed NdDyP crystal.

Output
Energy of formation ... -0.93 eV/atom
N(E_F) ... 3.371 states/eV/cell

Cell: 3.9572 3.9572 6.5872 Å, 90.00 90.00 120.00°
Space group P3m1 (No. 156)
Inequivalent atoms, fractional coordinates:
Nd (0.0000, 0.0000, 0.0000)
Dy (0.3333, 0.6667, 0.4913)
P (0.6667, 0.3333, 0.2581)

VASP calculation (GGA-PBE) on a relaxed NdDy3P4 crystal.

Output
Energy of formation ... -1.59 eV/atom
N(E_F) ... 1.517 states/eV/cell

Cell: 8.0953 11.4488 4.0500 Å, 90.00 90.00 90.00°
Space group Cmmm (No. 65)
Inequivalent atoms, fractional coordinates:
Nd (0.0000, 0.0000, 0.0000)
Dy (0.0000, 0.5000, 0.0000)
Dy (0.2500, 0.2500, 0.5000)
P (0.0000, 0.2533, 0.0000)
P (0.2436, 0.5000, 0.5000)

VASP calculation (GGA-PBE) on a relaxed Nd2DyP3 crystal.

Output
Energy of formation ... -1.56 eV/atom
N(E_F) ... 2.938 states/eV/cell

Cell: 7.1285 12.3462 7.1283 Å, 90.00 109.46 90.00°
Space group C2/m (No. 12)
Inequivalent atoms, fractional coordinates:
Nd (0.0000, 0.0000, 0.0000)
Nd (0.0000, 0.1658, 0.5000)
Nd (0.0000, 0.5000, 0.5000)
Dy (0.0000, 0.3330, 0.0000)
P (0.2425, 0.5000, 0.2429)
P (0.2495, 0.3308, 0.7561)

VASP calculation (GGA-PBE) on a relaxed NdDyP crystal.

Output
Energy of formation ... -0.49 eV/atom
N(E_F) ... 16.116 states/eV/cell

Cell: 5.7077 11.7355 5.7638 Å, 90.00 90.00 90.00°
Space group Cmcm (No. 63)
Inequivalent atoms, fractional coordinates:
Nd (0.0000, 0.2083, 0.2500)
Dy (0.0000, 0.5000, 0.0000)
P (0.0000, 0.2972, 0.7500)

VASP calculation (GGA-PBE) on a relaxed NdDy4P5 crystal.

Output
Energy of formation ... -1.59 eV/atom
N(E_F) ... 3.092 states/eV/cell

Cell: 13.3920 4.0430 9.8995 Å, 90.00 119.50 90.00°
Space group C2/m (No. 12)
Inequivalent atoms, fractional coordinates:
Nd (0.0000, 0.0000, 0.0000)
Dy (0.0989, 0.5000, 0.3999)
Dy (0.2005, 0.0000, 0.7975)
P (0.0000, 0.0000, 0.5000)
P (0.1036, 0.5000, 0.8970)
P (0.2022, 0.0000, 0.3053)

VASP calculation (GGA-PBE) on a relaxed Nd3DyP4 crystal.

Output
ΔE to the lowest computed polymorph ... 0 meV per atom
Energy of formation ... -1.55 eV/atom
N(E_F) ... 1.245 states/eV/cell

Cell: 8.2566 11.6728 4.1312 Å, 90.00 90.00 90.00°
Space group Cmmm (No. 65)
Inequivalent atoms, fractional coordinates:
Nd (0.0000, 0.0000, 0.0000)
Nd (0.2500, 0.2500, 0.5000)
Dy (0.0000, 0.5000, 0.0000)
P (0.0000, 0.2533, 0.0000)
P (0.2437, 0.5000, 0.5000)